Here is a relaxed structure of HgBi2Te2 from Alexandria. Energies are from GGA-PBE.

a = 8.925 Å, b = 8.925 Å, c = 4.026 Å
α = 90.00°, β = 90.00°, γ = 90.00°
Fractional positions:
Hg  0.000  0.000  0.000
Hg  0.500  0.500  0.000
Bi  0.137  0.363  0.500
Bi  0.363  0.863  0.500
Bi  0.637  0.137  0.500
Bi  0.863  0.637  0.500
Te  0.162  0.662  0.000
Te  0.338  0.162  0.000
Te  0.662  0.838  0.000
Te  0.838  0.338  0.000

Values from the calculation:
space group	No. 127
size of the total moment	0.0	μB/f.u.
ΔE_f (raw)	0.072	eV per atom
DOS(E_F)	0.59	states/eV per atom
excess energy over the best structure of this formula in the dataset	12.5	kJ per mole of atoms